# 1
# TePdI2 | Alexandria via LeMat-Bulk | GGA-PBEsol | relaxed
data_TePdI2
_cell_length_a 7.3986
_cell_length_b 7.3986
_cell_length_c 7.3986
_cell_angle_alpha 90.00
_cell_angle_beta 90.00
_cell_angle_gamma 90.00
_space_group_name_H-M_alt 'F m -3 m'
_space_group_IT_number 225
_space_group_name_Hall '-F 4 2 3'
loop_
_atom_site_label
_atom_site_type_symbol
_atom_site_fract_x
_atom_site_fract_y
_atom_site_fract_z
Te1 Te 0.0000 0.0000 0.0000
Pd1 Pd 0.0000 0.0000 0.5000
I1 I 0.2500 0.2500 0.2500
# Formation energy without anion corrections   504 meV/atom

# 2
# TlFe2Os | Alexandria via LeMat-Bulk | GGA-PBEsol | relaxed
data_TlFe2Os
_cell_length_a 3.0284
_cell_length_b 4.5992
_cell_length_c 8.6348
_cell_angle_alpha 90.00
_cell_angle_beta 90.00
_cell_angle_gamma 90.00
_space_group_name_H-M_alt 'C m m m'
_space_group_IT_number 65
_space_group_name_Hall '-C 2 2'
loop_
_atom_site_label
_atom_site_type_symbol
_atom_site_fract_x
_atom_site_fract_y
_atom_site_fract_z
Tl1 Tl 0.0000 0.0000 0.0000
Fe1 Fe 0.0000 0.5000 0.2707
Os1 Os 0.0000 0.0000 0.5000
# ΔE_f   0.71 eV per atom

# 3
# ScSbSe2 | Alexandria via LeMat-Bulk | GGA-PBEsol | relaxed
data_ScSbSe2
_cell_length_a 3.8738
_cell_length_b 5.0850
_cell_length_c 5.1066
_cell_angle_alpha 90.00
_cell_angle_beta 112.14
_cell_angle_gamma 90.00
_space_group_name_H-M_alt 'P 1 m 1'
_space_group_IT_number 6
loop_
_space_group_symop_operation_xyz
'x,y,z'
'x,-y,z'
loop_
_atom_site_label
_atom_site_type_symbol
_atom_site_fract_x
_atom_site_fract_y
_atom_site_fract_z
Sc1 Sc 0.0000 0.0000 0.0000
Sb1 Sb 0.6079 0.5000 0.2172
Se1 Se 0.2909 0.0000 0.5805
Se2 Se 0.9106 0.5000 0.8194
# Formation energy without anion corrections   -780 meV/atom

# 4
# HgPbAu2 | Alexandria via LeMat-Bulk | GGA-PBEsol | relaxed
data_HgPbAu2
_cell_length_a 7.9915
_cell_length_b 4.1576
_cell_length_c 5.8260
_cell_angle_alpha 90.00
_cell_angle_beta 111.76
_cell_angle_gamma 90.00
_space_group_name_H-M_alt 'C 1 2/m 1'
_space_group_IT_number 12
loop_
_space_group_symop_operation_xyz
'x,y,z'
'-x,-y,-z'
'-x,y,-z'
'x,-y,z'
'x+1/2,y+1/2,z'
'-x+1/2,-y+1/2,-z'
'-x+1/2,y+1/2,-z'
'x+1/2,-y+1/2,z'
loop_
_atom_site_label
_atom_site_type_symbol
_atom_site_fract_x
_atom_site_fract_y
_atom_site_fract_z
Hg1 Hg 0.0000 0.0000 0.0000
Pb1 Pb 0.0000 0.5000 0.5000
Au1 Au 0.2430 0.5000 0.2180
# ΔE_f   0.05 eV per atom

# 5
# Zr2Sc | Alexandria via LeMat-Bulk | GGA-PBEsol | relaxed
data_Zr2Sc
_cell_length_a 4.4656
_cell_length_b 4.4656
_cell_length_c 26.8409
_cell_angle_alpha 90.00
_cell_angle_beta 90.00
_cell_angle_gamma 90.00
_space_group_name_H-M_alt 'I 41/a m d'
_space_group_IT_number 141
loop_
_space_group_symop_operation_xyz
'x,y,z'
'-x,-y,-z'
'-y+1/4,x+3/4,z+1/4'
'y+1/4,-x+3/4,-z+1/4'
'-x+1/2,-y,z+1/2'
'x+1/2,y,-z+1/2'
'y+1/4,-x+1/4,z+3/4'
'-y+1/4,x+1/4,-z+3/4'
'x,-y,-z'
'-x,y,z'
'-y+1/4,-x+1/4,-z+3/4'
'y+1/4,x+1/4,z+3/4'
'-x+1/2,y,-z+1/2'
'x+1/2,-y,z+1/2'
'y+1/4,x+3/4,-z+1/4'
'-y+1/4,-x+3/4,z+1/4'
'x+1/2,y+1/2,z+1/2'
'-x+1/2,-y+1/2,-z+1/2'
'-y+3/4,x+1/4,z+3/4'
'y+3/4,-x+1/4,-z+3/4'
'-x,-y+1/2,z'
'x,y+1/2,-z'
'y+3/4,-x+3/4,z+1/4'
'-y+3/4,x+3/4,-z+1/4'
'x+1/2,-y+1/2,-z+1/2'
'-x+1/2,y+1/2,z+1/2'
'-y+3/4,-x+3/4,-z+1/4'
'y+3/4,x+3/4,z+1/4'
'-x,y+1/2,-z'
'x,-y+1/2,z'
'y+3/4,x+1/4,-z+3/4'
'-y+3/4,-x+1/4,z+3/4'
loop_
_atom_site_label
_atom_site_type_symbol
_atom_site_fract_x
_atom_site_fract_y
_atom_site_fract_z
Zr1 Zr 0.0000 0.2500 0.1248
Zr2 Zr 0.0000 0.2500 0.2925
Sc1 Sc 0.0000 0.2500 0.7925
# ΔE_f   0.03 eV per atom

# 6
# Mg2CrTe | Alexandria via LeMat-Bulk | GGA-PBEsol | relaxed
data_Mg2CrTe
_cell_length_a 4.4887
_cell_length_b 4.4887
_cell_length_c 4.0956
_cell_angle_alpha 90.00
_cell_angle_beta 90.00
_cell_angle_gamma 90.00
_space_group_name_H-M_alt 'P 4/m m m'
_space_group_IT_number 123
_space_group_name_Hall '-P 4 2'
loop_
_atom_site_label
_atom_site_type_symbol
_atom_site_fract_x
_atom_site_fract_y
_atom_site_fract_z
Mg1 Mg 0.0000 0.5000 0.0000
Cr1 Cr 0.0000 0.0000 0.5000
Te1 Te 0.5000 0.5000 0.5000
# Formation energy without anion corrections   148 meV/atom

# 7
# LiCd2In | Alexandria via LeMat-Bulk | GGA-PBEsol | relaxed
data_LiCd2In
_cell_length_a 6.8718
_cell_length_b 6.8718
_cell_length_c 6.8718
_cell_angle_alpha 90.00
_cell_angle_beta 90.00
_cell_angle_gamma 90.00
_space_group_name_H-M_alt 'F -4 3 m'
_space_group_IT_number 216
_space_group_name_Hall 'F -4 2 3'
loop_
_atom_site_label
_atom_site_type_symbol
_atom_site_fract_x
_atom_site_fract_y
_atom_site_fract_z
Li1 Li 0.0000 0.0000 0.0000
Cd1 Cd 0.0000 0.0000 0.5000
Cd2 Cd 0.2500 0.2500 0.7500
In1 In 0.2500 0.2500 0.2500
# ΔE_f   -0.15 eV per atom

# 8
# Mn2CuOs | Alexandria via LeMat-Bulk | GGA-PBEsol | relaxed
data_Mn2CuOs
_cell_length_a 2.6150
_cell_length_b 3.5763
_cell_length_c 5.0727
_cell_angle_alpha 90.00
_cell_angle_beta 90.00
_cell_angle_gamma 90.00
_space_group_name_H-M_alt 'P m m m'
_space_group_IT_number 47
loop_
_space_group_symop_operation_xyz
'x,y,z'
'-x,-y,-z'
'-x,-y,z'
'x,y,-z'
'x,-y,-z'
'-x,y,z'
'-x,y,-z'
'x,-y,z'
loop_
_atom_site_label
_atom_site_type_symbol
_atom_site_fract_x
_atom_site_fract_y
_atom_site_fract_z
Mn1 Mn 0.0000 0.0000 0.2490
Cu1 Cu 0.5000 0.5000 0.0000
Os1 Os 0.5000 0.5000 0.5000
# ΔE_f   0.21 eV per atom

| no. | M_tot (μB/cell) |
| --- | --- |
| 1 | 0.00 |
| 2 | 11.04 |
| 3 | 0.00 |
| 4 | 0.00 |
| 5 | 0.00 |
| 6 | 4.05 |
| 7 | 0.00 |
| 8 | 2.70 |